Below is LiHN3 after structural relaxation, with properties calculated at the GGA-PBE level.

Its crystal system is cubic. Its final energy is -3.0782 eV per atom.

Cell lengths 3.467, 3.467, 3.467 Å; angles 90.00, 90.00, 90.00 degrees
Fractional positions:
1 H 0.500 0.500 0.500
2 Li 0.000 0.000 0.000
3 N 0.000 0.500 0.000
4 N 0.000 0.000 0.500
5 N 0.500 0.000 0.000

Below is Tl2Pd13 after structural relaxation, with properties calculated at the GGA-PBE level.

For the formation energy, the calculation gives 265 meV/atom. Its crystal system is trigonal. Its final energy is -4.5506 eV per atom.

Cell lengths 7.087, 7.087, 8.003 Å; angles 63.72, 63.72, 60.00 degrees
Fractional positions:
1 Tl 0.362 0.362 0.914
2 Tl 0.638 0.638 0.086
3 Pd 0.500 0.500 0.500
4 Pd 0.380 0.995 0.245
5 Pd 0.380 0.380 0.245
6 Pd 0.995 0.380 0.245
7 Pd 0.005 0.620 0.755
8 Pd 0.620 0.005 0.755
9 Pd 0.620 0.620 0.755
10 Pd 0.246 0.872 0.636
11 Pd 0.246 0.246 0.636
12 Pd 0.872 0.246 0.636
13 Pd 0.128 0.754 0.364
14 Pd 0.754 0.128 0.364
15 Pd 0.754 0.754 0.364

Below is CaTb2Er after structural relaxation, with properties calculated at the GGA-PBE level.

For the formation energy, the calculation gives 162 meV/atom. Its crystal system is cubic. Its final energy is -3.7941 eV per atom.

Cell lengths 5.735, 5.735, 5.735 Å; angles 60.00, 60.00, 60.00 degrees
Fractional positions:
1 Ca 0.500 0.500 0.500
2 Tb 0.250 0.250 0.250
3 Tb 0.750 0.750 0.750
4 Er 0.000 0.000 0.000

Below is Ca2CuRh after structural relaxation, with properties calculated at the GGA-PBE level.

For the formation energy, the calculation gives 668 meV/atom. Its crystal system is orthorhombic. Its final energy is -3.1942 eV per atom.

Cell lengths 6.102, 6.102, 6.102 Å; angles 61.97, 148.41, 128.18 degrees
Fractional positions:
1 Ca 0.000 0.259 0.259
2 Ca 0.000 0.741 0.741
3 Cu 0.000 0.000 0.000
4 Rh 0.000 0.500 0.500

Below is PmTiS3 after structural relaxation, with properties calculated at the GGA-PBE level.

Its crystal system is orthorhombic. Its final energy is -6.7052 eV per atom. For the formation energy (no corrections), the calculation gives -1.6996 eV/atom.

Cell lengths 3.724, 7.914, 13.199 Å; angles 90.00, 90.00, 90.00 degrees
Each line ends with the local moment (μB).
Fractional positions:
1 Pm 0.750 0.920 0.829  0.01
2 Pm 0.250 0.080 0.171  0.01
3 Pm 0.750 0.420 0.671  0.01
4 Pm 0.250 0.580 0.329  0.01
5 Ti 0.250 0.352 0.952  0.59
6 Ti 0.250 0.852 0.548  0.59
7 Ti 0.750 0.148 0.452  0.59
8 Ti 0.750 0.648 0.048  0.59
9 S 0.250 0.340 0.509  -0.01
10 S 0.750 0.801 0.212  0.00
11 S 0.750 0.524 0.884  -0.02
12 S 0.750 0.024 0.616  -0.02
13 S 0.750 0.660 0.491  -0.01
14 S 0.250 0.976 0.384  -0.02
15 S 0.250 0.840 0.991  -0.01
16 S 0.750 0.301 0.288  0.00
17 S 0.250 0.699 0.712  0.00
18 S 0.250 0.199 0.788  0.00
19 S 0.750 0.160 0.009  -0.01
20 S 0.250 0.476 0.116  -0.02

Below is CuAsPt4 after structural relaxation, with properties calculated at the GGA-PBE level.

For the formation energy, the calculation gives 254 meV/atom. Its crystal system is cubic. Its final energy is -5.2307 eV per atom.

Cell lengths 5.272, 5.272, 5.272 Å; angles 60.00, 60.00, 60.00 degrees
Fractional positions:
1 Cu 0.000 0.000 0.000
2 As 0.750 0.750 0.750
3 Pt 0.876 0.375 0.375
4 Pt 0.375 0.375 0.876
5 Pt 0.375 0.876 0.375
6 Pt 0.375 0.375 0.375

The highest final energy belongs to which entry?
LiHN3

Which of these has the lowest final energy?
PmTiS3

Which of these has the lowest final energy?
PmTiS3